# BAuIF2, relaxed, DFT PBE
# size of the total moment = 0.00 μB/atom
# DOS at the Fermi energy = 0.496 states/eV per atom
# raw formation energy = 0.556 eV/atom
data_BAuIF2
_chemical_formula_sum 'B1 Au1 I1 F2'
_space_group_name_H-M_alt 'P 4/m m m'
_space_group_IT_number 123
_space_group_name_Hall '-P 4 2'
_cell_length_a 4.373
_cell_length_b 4.373
_cell_length_c 5.046
_cell_angle_alpha 90.00
_cell_angle_beta 90.00
_cell_angle_gamma 90.00
loop_
_atom_site_label
_atom_site_fract_x
_atom_site_fract_y
_atom_site_fract_z
_atom_site_occupancy
B1 0.000 0.000 0.000 1
Au1 0.500 0.500 0.000 1
I1 0.000 0.000 0.500 1
F1 0.000 0.500 0.500 1